<w>
Entry from Alexandria via LeMat-Bulk: crystalline Sr4MgTl at its relaxed geometry (GGA-PBE).

total magnetic moment	0.0	μB/f.u.

Geometry as CIF:
```
data_Sr4MgTl
_chemical_formula_sum 'Sr4 Mg1 Tl1'
_cell_length_a 5.807
_cell_length_b 5.807
_cell_length_c 8.294
_cell_angle_alpha 89.99
_cell_angle_beta 90.00
_cell_angle_gamma 90.01
_symmetry_space_group_name_H-M 'P 1'
_symmetry_Int_Tables_number 1
_symmetry_space_group_name_Hall 'P 1'
loop_
_atom_site_label
_atom_site_type_symbol
_atom_site_fract_x
_atom_site_fract_y
_atom_site_fract_z
_atom_site_occupancy
Sr1 Sr 0.501 0.997 0.262 1
Sr2 Sr 0.501 0.998 0.734 1
Sr3 Sr 0.001 0.498 0.734 1
Sr4 Sr 0.001 0.497 0.262 1
Mg1 Mg 0.502 0.497 0.998 1
Tl1 Tl 0.001 0.997 0.498 1
```

---

<x>
Entry from Alexandria via LeMat-Bulk: crystalline Sr4MgTl at its relaxed geometry (GGA-PBE).

total magnetic moment	0.0	μB/f.u.

Geometry as CIF:
```
data_Sr4MgTl
_chemical_formula_sum 'Sr4 Mg1 Tl1'
_cell_length_a 4.169
_cell_length_b 4.169
_cell_length_c 14.458
_cell_angle_alpha 90.00
_cell_angle_beta 90.00
_cell_angle_gamma 90.00
_symmetry_space_group_name_H-M 'P 1'
_symmetry_Int_Tables_number 1
_symmetry_space_group_name_Hall 'P 1'
loop_
_atom_site_label
_atom_site_type_symbol
_atom_site_fract_x
_atom_site_fract_y
_atom_site_fract_z
_atom_site_occupancy
Sr1 Sr 0.500 0.500 0.856 1
Sr2 Sr 0.500 0.500 0.144 1
Sr3 Sr 0.000 0.000 0.634 1
Sr4 Sr 0.000 0.000 0.366 1
Mg1 Mg 0.000 0.000 0.000 1
Tl1 Tl 0.500 0.500 0.500 1
```

---

<y>
Entry from Alexandria via LeMat-Bulk: crystalline Sr4MgTl at its relaxed geometry (GGA-PBE).

total magnetic moment	0.0	μB/f.u.

Geometry as CIF:
```
data_Sr4MgTl
_chemical_formula_sum 'Sr4 Mg1 Tl1'
_cell_length_a 7.342
_cell_length_b 7.342
_cell_length_c 7.342
_cell_angle_alpha 60.00
_cell_angle_beta 60.00
_cell_angle_gamma 60.00
_symmetry_space_group_name_H-M 'P 1'
_symmetry_Int_Tables_number 1
_symmetry_space_group_name_Hall 'P 1'
loop_
_atom_site_label
_atom_site_type_symbol
_atom_site_fract_x
_atom_site_fract_y
_atom_site_fract_z
_atom_site_occupancy
Sr1 Sr 0.875 0.375 0.375 1
Sr2 Sr 0.375 0.375 0.875 1
Sr3 Sr 0.375 0.875 0.375 1
Sr4 Sr 0.375 0.375 0.375 1
Mg1 Mg 0.000 0.000 0.000 1
Tl1 Tl 0.750 0.750 0.750 1
```

---

Short version: <x>, <w>, <y>, most stable first.

---

<w>
Entry from Alexandria via LeMat-Bulk: crystalline SrYMgTl at its relaxed geometry (GGA-PBE).

total magnetic moment	0.2	μB/f.u.

Geometry as CIF:
```
data_SrYMgTl
_chemical_formula_sum 'Sr1 Y1 Mg1 Tl1'
_cell_length_a 3.939
_cell_length_b 3.939
_cell_length_c 7.991
_cell_angle_alpha 90.00
_cell_angle_beta 90.00
_cell_angle_gamma 90.00
_symmetry_space_group_name_H-M 'P 1'
_symmetry_Int_Tables_number 1
_symmetry_space_group_name_Hall 'P 1'
loop_
_atom_site_label
_atom_site_type_symbol
_atom_site_fract_x
_atom_site_fract_y
_atom_site_fract_z
_atom_site_occupancy
Sr1 Sr 0.000 0.000 0.862 1
Y1 Y 0.000 0.000 0.356 1
Mg1 Mg 0.500 0.500 0.576 1
Tl1 Tl 0.500 0.500 0.135 1
```

---

<x>
Entry from Alexandria via LeMat-Bulk: crystalline SrYMgTl at its relaxed geometry (GGA-PBE).

total magnetic moment	0.0	μB/f.u.

Geometry as CIF:
```
data_SrYMgTl
_chemical_formula_sum 'Sr1 Y1 Mg1 Tl1'
_cell_length_a 5.571
_cell_length_b 5.571
_cell_length_c 5.571
_cell_angle_alpha 60.00
_cell_angle_beta 60.00
_cell_angle_gamma 60.00
_symmetry_space_group_name_H-M 'P 1'
_symmetry_Int_Tables_number 1
_symmetry_space_group_name_Hall 'P 1'
loop_
_atom_site_label
_atom_site_type_symbol
_atom_site_fract_x
_atom_site_fract_y
_atom_site_fract_z
_atom_site_occupancy
Y1 Y 0.750 0.750 0.750 1
Sr1 Sr 0.250 0.250 0.250 1
Tl1 Tl 0.000 0.000 0.000 1
Mg1 Mg 0.500 0.500 0.500 1
```

---

Short version: <w>, <x>, most stable first.

---

<w>
Entry from Alexandria via LeMat-Bulk: crystalline SrTmMg2 at its relaxed geometry (GGA-PBE).

total magnetic moment	0.0	μB/f.u.

Geometry as CIF:
```
data_SrTmMg2
_chemical_formula_sum 'Sr1 Tm1 Mg2'
_cell_length_a 3.948
_cell_length_b 3.948
_cell_length_c 8.005
_cell_angle_alpha 90.00
_cell_angle_beta 90.00
_cell_angle_gamma 90.00
_symmetry_space_group_name_H-M 'P 1'
_symmetry_Int_Tables_number 1
_symmetry_space_group_name_Hall 'P 1'
loop_
_atom_site_label
_atom_site_type_symbol
_atom_site_fract_x
_atom_site_fract_y
_atom_site_fract_z
_atom_site_occupancy
Sr1 Sr 0.500 0.500 0.500 1
Mg1 Mg 0.000 0.000 0.786 1
Mg2 Mg 0.000 0.000 0.214 1
Tm1 Tm 0.500 0.500 0.000 1
```

---

<x>
Entry from Alexandria via LeMat-Bulk: crystalline SrTmMg2 at its relaxed geometry (GGA-PBE).

total magnetic moment	0.0	μB/f.u.

Geometry as CIF:
```
data_SrTmMg2
_chemical_formula_sum 'Sr1 Tm1 Mg2'
_cell_length_a 5.603
_cell_length_b 5.603
_cell_length_c 5.603
_cell_angle_alpha 60.00
_cell_angle_beta 60.00
_cell_angle_gamma 60.00
_symmetry_space_group_name_H-M 'P 1'
_symmetry_Int_Tables_number 1
_symmetry_space_group_name_Hall 'P 1'
loop_
_atom_site_label
_atom_site_type_symbol
_atom_site_fract_x
_atom_site_fract_y
_atom_site_fract_z
_atom_site_occupancy
Sr1 Sr 0.000 0.000 0.000 1
Mg1 Mg 0.250 0.250 0.250 1
Mg2 Mg 0.750 0.750 0.750 1
Tm1 Tm 0.500 0.500 0.500 1
```

---

Short version: <w>, <x>, most stable first.